Crystalline YMn3F at its relaxed geometry. Source: the Alexandria database, functional PBE+U.

Calculated values
mass density	2301	kg/m³
total magnetization	13.1	μB per formula unit
D(E_F)	12.77	states/eV/f.u.
polymorph energy (0 for the lowest one)	1360	meV per atom
symmetry	Pm-3m, No. 221

Cell and atoms, written as POSCAR:
```
YMn3F
1.0
5.8171 0.0000 0.0000
0.0000 5.8171 0.0000
0.0000 0.0000 5.8171
Y Mn F
1 3 1
Direct
0.0000 0.0000 0.0000
0.0000 0.0000 0.5000
0.0000 0.5000 0.0000
0.5000 0.0000 0.0000
0.5000 0.5000 0.5000
```